ScAlOs | GGA-PBE | optimized geometry

Values from the calculation:
* V: 99.1 Å³/cell
* magnetic moment: 0.00 μB per formula unit
* raw total energy: -7.6154 eV per atom

Geometry as CIF:
```
data_ScAlOs
_chemical_formula_sum 'Sc2 Al2 Os2'
_symmetry_space_group_name_H-M 'I 4 m m'
_symmetry_Int_Tables_number 107
_symmetry_space_group_name_Hall 'I 4 -2'
_cell_length_a 3.2416
_cell_length_b 3.2416
_cell_length_c 9.4264
_cell_angle_alpha 90.00
_cell_angle_beta 90.00
_cell_angle_gamma 90.00
loop_
_atom_site_label
_atom_site_fract_x
_atom_site_fract_y
_atom_site_fract_z
_atom_site_occupancy
Sc1 0.0000 0.0000 0.0000 1
Al1 0.0000 0.0000 0.3010 1
Os1 0.0000 0.0000 0.6685 1
```

Ho3Tm2LuBi2Os | GGA-PBE | optimized geometry

Values from the calculation:
* V: 492.6 Å³/cell
* magnetic moment: 0.05 μB per formula unit
* raw total energy: -5.7429 eV per atom

Geometry as CIF:
```
data_Ho3Tm2LuBi2Os
_chemical_formula_sum 'Ho6 Tm4 Lu2 Bi4 Os2'
_symmetry_space_group_name_H-M 'A m m 2'
_symmetry_Int_Tables_number 38
_cell_length_a 4.2359
_cell_length_b 14.1947
_cell_length_c 8.1933
_cell_angle_alpha 90.00
_cell_angle_beta 90.00
_cell_angle_gamma 90.00
loop_
_symmetry_equiv_pos_as_xyz
'x,y,z'
'-x,-y,z'
'-x,y,z'
'x,-y,z'
'x,y+1/2,z+1/2'
'-x,-y+1/2,z+1/2'
'-x,y+1/2,z+1/2'
'x,-y+1/2,z+1/2'
loop_
_atom_site_label
_atom_site_fract_x
_atom_site_fract_y
_atom_site_fract_z
_atom_site_occupancy
Ho1 0.0000 0.0000 0.0000 1
Ho2 0.0000 0.1924 0.5772 1
Tm1 0.5000 0.1156 0.2692 1
Lu1 0.5000 0.0000 0.6158 1
Bi1 0.5000 0.1666 0.8847 1
Os1 0.0000 0.0000 0.3852 1
```

Zr4GeSbN2 | GGA-PBE | optimized geometry

Values from the calculation:
* V: 133.7 Å³/cell
* magnetic moment: 0.00 μB per formula unit
* raw total energy: -8.5663 eV per atom

Geometry as CIF:
```
data_Zr4GeSbN2
_chemical_formula_sum 'Zr4 Ge1 Sb1 N2'
_symmetry_space_group_name_H-M 'P -6 m 2'
_symmetry_Int_Tables_number 187
_symmetry_space_group_name_Hall 'P -6 2'
_cell_length_a 3.3677
_cell_length_b 3.3677
_cell_length_c 13.6112
_cell_angle_alpha 90.00
_cell_angle_beta 90.00
_cell_angle_gamma 120.00
loop_
_atom_site_label
_atom_site_fract_x
_atom_site_fract_y
_atom_site_fract_z
_atom_site_occupancy
Zr1 0.0000 0.0000 0.1540 1
Zr2 0.3333 0.6667 0.3340 1
Ge1 0.3333 0.6667 0.0000 1
Sb1 0.0000 0.0000 0.5000 1
N1 0.6667 0.3333 0.2435 1
```

YLu2Ir | GGA-PBE | optimized geometry

Values from the calculation:
* V: 367.8 Å³/cell
* magnetic moment: 0.00 μB per formula unit
* raw total energy: -6.2865 eV per atom
* formation enthalpy at 0 K: -0.19 eV per atom

Geometry as CIF:
```
data_YLu2Ir
_chemical_formula_sum 'Y4 Lu8 Ir4'
_symmetry_space_group_name_H-M 'F -4 3 m'
_symmetry_Int_Tables_number 216
_symmetry_space_group_name_Hall 'F -4 2 3'
_cell_length_a 7.1648
_cell_length_b 7.1648
_cell_length_c 7.1648
_cell_angle_alpha 90.00
_cell_angle_beta 90.00
_cell_angle_gamma 90.00
loop_
_atom_site_label
_atom_site_fract_x
_atom_site_fract_y
_atom_site_fract_z
_atom_site_occupancy
Y1 0.0000 0.0000 0.0000 1
Lu1 0.0000 0.0000 0.5000 1
Lu2 0.2500 0.2500 0.7500 1
Ir1 0.2500 0.2500 0.2500 1
```

CuBiPdAu | GGA-PBE | optimized geometry

Values from the calculation:
* V: 293.6 Å³/cell
* raw total energy: -4.0910 eV per atom
* energy above the lowest structure with this stoichiometry: 0 meV per atom

Geometry as CIF:
```
data_CuBiPdAu
_chemical_formula_sum 'Cu4 Bi4 Pd4 Au4'
_symmetry_space_group_name_H-M 'F -4 3 m'
_symmetry_Int_Tables_number 216
_symmetry_space_group_name_Hall 'F -4 2 3'
_cell_length_a 6.6461
_cell_length_b 6.6461
_cell_length_c 6.6461
_cell_angle_alpha 90.00
_cell_angle_beta 90.00
_cell_angle_gamma 90.00
loop_
_atom_site_label
_atom_site_fract_x
_atom_site_fract_y
_atom_site_fract_z
_atom_site_occupancy
Cu1 0.0000 0.0000 0.0000 1
Bi1 0.2500 0.2500 0.7500 1
Pd1 0.0000 0.0000 0.5000 1
Au1 0.2500 0.2500 0.2500 1
```

HoGa6 | GGA-PBE | optimized geometry

Values from the calculation:
* V: 268.9 Å³/cell
* magnetic moment: 0.00 μB per formula unit
* raw total energy: -3.5548 eV per atom
* energy above the lowest structure with this stoichiometry: 3 meV per atom

Geometry as CIF:
```
data_HoGa6
_chemical_formula_sum 'Ho2 Ga12'
_symmetry_space_group_name_H-M 'P 4/n b m'
_symmetry_Int_Tables_number 125
_cell_length_a 5.9513
_cell_length_b 5.9513
_cell_length_c 7.5928
_cell_angle_alpha 90.00
_cell_angle_beta 90.00
_cell_angle_gamma 90.00
loop_
_symmetry_equiv_pos_as_xyz
'x,y,z'
'-x,-y,-z'
'-y+1/2,x,z'
'y+1/2,-x,-z'
'-x+1/2,-y+1/2,z'
'x+1/2,y+1/2,-z'
'y,-x+1/2,z'
'-y,x+1/2,-z'
'x,-y+1/2,-z'
'-x,y+1/2,z'
'-y+1/2,-x+1/2,-z'
'y+1/2,x+1/2,z'
'-x+1/2,y,-z'
'x+1/2,-y,z'
'y,x,-z'
'-y,-x,z'
loop_
_atom_site_label
_atom_site_fract_x
_atom_site_fract_y
_atom_site_fract_z
_atom_site_occupancy
Ho1 0.2500 0.7500 0.0000 1
Ga1 0.0634 0.5634 0.3476 1
Ga2 0.2500 0.2500 0.1575 1
```